[1]
VASP calculation (GGA-PBE) on crystalline KCuSiTe3 at its relaxed geometry.

Cell: 9.359 4.087 9.907 Å, 90.00 111.52 90.00°
Atoms (fractional coordinates):
K 0.206 0.250 0.259
K 0.794 0.750 0.741
Cu 0.061 0.250 0.579
Cu 0.939 0.750 0.421
Si 0.335 0.750 0.859
Si 0.665 0.250 0.141
Te 0.136 0.250 0.863
Te 0.235 0.750 0.564
Te 0.463 0.750 0.148
Te 0.537 0.250 0.852
Te 0.765 0.250 0.436
Te 0.864 0.750 0.137

- SG: P2_1/m
- Theoretical density: 4.84 g cm⁻³
- ΔE to the lowest computed polymorph: 0 meV per atom

[2]
VASP calculation (GGA-PBE) on crystalline RbLiHo at its relaxed geometry.

Cell: 5.682 5.682 5.682 Å, 60.00 60.00 60.00°
Atoms (fractional coordinates):
Rb 0.000 0.000 0.000
Li 0.750 0.750 0.750
Ho 0.500 0.500 0.500

- SG: F-43m
- Theoretical density: 3.29 g cm⁻³
- ΔE to the lowest computed polymorph: 0 meV per atom
- M_tot: 0.2 μB/cell